No. 1
Compound: In4GaHg6
Source: Alexandria via LeMat-Bulk
Functional: GGA-PBE
Structure: optimized geometry

a b c (Å): 6.799 8.298 6.799
angles (deg): 63.34 95.47 116.66
Positions (direct):
Hg: 0.499 0.308 0.501
Ga: 0.949 0.897 0.051
Hg: 0.142 0.721 0.422
In: 0.960 0.278 0.683
Hg: 0.014 0.028 0.486
In: 0.587 0.716 0.413
Hg: 0.578 0.721 0.858
In: 0.317 0.278 0.040
Hg: 0.514 0.028 0.986
In: 0.129 0.716 0.871
Hg: 0.809 0.308 0.191

Properties
Total DFT energy (no corrections) = -1.379 eV/atom
SG = No. 42
ΔE_f = 56 meV/atom

***

No. 2
Compound: Ac6Ir2RuCl3
Source: Alexandria via LeMat-Bulk
Functional: GGA-PBE
Structure: optimized geometry

a b c (Å): 4.319 9.396 10.374
angles (deg): 109.65 102.01 90.00
Positions (direct):
Cl: 0.836 0.169 0.673
Ir: 0.833 0.666 0.665
Cl: 0.164 0.831 0.327
Ac: 0.010 0.222 0.019
Ac: 0.654 0.106 0.307
Ac: 0.990 0.778 0.981
Ir: 0.167 0.334 0.335
Ac: 0.323 0.443 0.646
Ac: 0.346 0.894 0.693
Cl: 0.500 0.500 0.000
Ac: 0.677 0.557 0.354
Ru: 0.500 0.000 0.000

Properties
Total DFT energy (no corrections) = -5.939 eV/atom
SG = No. 12
Formation energy from raw total energies = -1174 meV per atom

***

No. 3
Compound: Dy2Ho9Er
Source: Alexandria via LeMat-Bulk
Functional: GGA-PBE
Structure: optimized geometry

a b c (Å): 3.466 11.115 11.115
angles (deg): 120.00 90.00 90.00
Positions (direct):
Dy: 0.000 0.667 0.333
Ho: 0.000 0.000 0.500
Ho: 0.500 0.649 0.824
Ho: 0.500 0.176 0.824
Dy: 0.000 0.333 0.667
Ho: 0.500 0.824 0.649
Ho: 0.500 0.176 0.351
Ho: 0.500 0.824 0.176
Ho: 0.000 0.500 0.500
Er: 0.000 0.000 0.000
Ho: 0.000 0.500 0.000
Ho: 0.500 0.351 0.176

Properties
Total DFT energy (no corrections) = -4.523 eV/atom
SG = No. 191
ΔE_f = 58 meV/atom
E above lowest polymorph = 0.036 eV per atom